1.
Density functional theory data (PBE) for NaLaPb2I8 after structural relaxation.

```
12
Lattice="7.355 0.000 0.000 0.000 9.534 0.000 -0.090 0.000 7.823" Properties=species:S:1:pos:R:3 pbc="T T T"
Na 0.000 0.000 0.000
La 0.000 4.767 0.000
Pb 3.633 2.296 3.911
Pb 3.633 7.238 3.911
I 1.766 2.420 1.213
I 1.766 7.114 1.213
I 1.750 4.767 5.198
I 1.835 0.000 5.126
I 5.431 0.000 2.697
I 5.516 4.767 2.625
I 5.499 2.420 6.610
I 5.499 7.114 6.610
```

N(E_F): 0.000 states/eV/cell
magnetization: 0.000 μB per cell
symmetry: No. 10
formation energy from raw total energies: -1.0067 eV per atom

***

2.
Density functional theory data (PBE) for MgMo2Cl after structural relaxation.

```
4
Lattice="-1.780 1.780 6.464 1.780 -1.780 6.464 1.780 1.780 -6.464" Properties=species:S:1:pos:R:3 pbc="T T T"
Mg 0.000 0.000 0.000
Mo 1.780 0.000 3.232
Mo 0.000 1.780 3.232
Cl 0.000 0.000 6.464
```

distance to the lowest polymorph of the same formula: 0.629 eV/atom
N(E_F): 2.653 states/eV/cell
magnetization: 0.000 μB per cell
symmetry: No. 139
formation energy from raw total energies: 0.5923 eV per atom

***

3.
Density functional theory data (PBE) for Ge2TeSe after structural relaxation.

```
4
Lattice="2.066 1.193 6.730 -2.066 1.193 6.730 0.000 -2.386 6.730" Properties=species:S:1:pos:R:3 pbc="T T T"
Ge 0.000 0.000 4.939
Ge 0.000 0.000 15.251
Te 0.000 0.000 0.000
Se 0.000 0.000 10.095
```

distance to the lowest polymorph of the same formula: 0.003 eV/atom
N(E_F): 0.089 states/eV/cell
magnetization: 0.000 μB per cell
symmetry: No. 166
formation energy from raw total energies: -0.1343 eV per atom

***

4.
Density functional theory data (PBE) for Mg3Cd2Pd after structural relaxation.

```
12
Lattice="2.379 -7.192 0.000 2.379 7.192 0.000 0.000 0.000 6.787" Properties=species:S:1:pos:R:3 pbc="T T T"
Mg 0.000 0.000 1.606
Mg 0.000 0.000 5.182
Mg 2.379 2.533 1.513
Mg 2.379 2.533 5.275
Mg 2.379 -2.533 1.513
Mg 2.379 -2.533 5.275
Cd 2.379 4.831 3.394
Cd 2.379 0.000 0.000
Cd 2.379 0.000 3.394
Cd 2.379 -4.831 3.394
Pd 2.379 4.906 0.000
Pd 2.379 -4.906 0.000
```

distance to the lowest polymorph of the same formula: 0.000 eV/atom
N(E_F): 3.212 states/eV/cell
magnetization: 0.000 μB per cell
symmetry: No. 65
formation enthalpy at 0 K: -0.3312 eV/atom

***

5.
Density functional theory data (PBE) for Mn2Zn2Co3 after structural relaxation.

```
7
Lattice="2.001 1.155 6.345 -2.001 1.155 6.345 0.000 -2.310 6.345" Properties=species:S:1:pos:R:3 pbc="T T T"
Mn 0.000 0.000 2.137
Mn 0.000 0.000 16.899
Zn 0.000 0.000 7.010
Zn 0.000 0.000 12.026
Co 0.000 0.000 4.492
Co 0.000 0.000 9.518
Co 0.000 0.000 14.544
```

N(E_F): 7.025 states/eV/cell
magnetization: 5.483 μB per cell
symmetry: No. 166
formation enthalpy at 0 K: 0.1030 eV/atom

***

6.
Density functional theory data (PBE) for InAgCl after structural relaxation.

```
3
Lattice="0.000 3.442 3.442 3.442 0.000 3.442 3.442 3.442 0.000" Properties=species:S:1:pos:R:3 pbc="T T T"
In 0.000 0.000 0.000
Ag 5.163 5.163 5.163
Cl 3.442 3.442 3.442
```

N(E_F): 0.985 states/eV/cell
magnetization: 0.000 μB per cell
symmetry: No. 216
formation energy from raw total energies: -0.1057 eV per atom